# 1
Entry from the Alexandria database: a geometry-optimized LaMoSeN2 structure (GGA-PBE).

The structure in extended XYZ format:
```
5
Lattice="-2.534 0.061 3.200 -3.084 -1.138 -2.420 1.061 -4.858 0.932" Properties=species:S:1:pos:R:3 pbc="T T T"
La -2.279 -2.968 0.856
Se 0.530 -2.429 0.466
Mo 0.000 0.000 0.000
N -1.542 -0.569 -1.210
N -1.267 0.030 1.600
```

Excess energy over the best structure of this formula in the dataset: 0.00 eV per formula unit
Symmetry: No. 123
Uncorrected formation energy: -50.50 kJ per mole of atoms

---

# 2
Entry from the Alexandria database: a geometry-optimized TbPr2YTl2 structure (GGA-PBE).

The structure in extended XYZ format:
```
12
Lattice="-0.185 -0.458 5.161 -2.162 -6.533 -0.658 9.762 -3.237 0.063" Properties=species:S:1:pos:R:3 pbc="T T T"
Pr 1.125 -2.742 -0.203
Pr 0.198 -0.771 2.543
Pr 8.031 -6.994 2.272
Pr 6.143 -8.031 -0.492
Tb 1.529 -5.702 2.153
Tb 6.184 -3.621 2.505
Y 4.290 -4.763 -0.269
Y 2.398 -7.761 -0.603
Tl -0.308 -5.697 -0.517
Tl 4.455 -6.928 2.149
Tl 3.106 -2.855 2.462
Tl 7.692 -4.725 -0.143
```

Energy of formation: -0.28 eV/atom
Symmetry: No. 26

---

# 3
Entry from the Alexandria database: a geometry-optimized PmSm2Ag5 structure (GGA-PBE).

The structure in extended XYZ format:
```
8
Lattice="-0.483 3.903 3.321 -5.122 -0.479 -0.183 3.042 -6.370 3.941" Properties=species:S:1:pos:R:3 pbc="T T T"
Ag -2.504 -1.348 1.220
Ag -0.185 0.843 2.971
Ag -0.059 -1.598 5.859
Ag -2.802 1.712 1.569
Ag -2.379 -3.789 4.108
Sm 0.128 -2.502 2.959
Sm -2.692 -0.445 4.120
Pm 0.000 0.000 0.000
```

Energy of formation: -0.21 eV/atom
Symmetry: No. 139

---

# 4
Entry from the Alexandria database: a geometry-optimized Ac8Pm3Sm structure (GGA-PBE).

The structure in extended XYZ format:
```
12
Lattice="-5.337 -7.583 -1.148 0.404 3.621 -8.604 9.078 1.244 1.831" Properties=species:S:1:pos:R:3 pbc="T T T"
Ac -2.160 -5.723 -1.277
Ac 1.586 0.584 -3.274
Ac 2.558 -3.301 -4.647
Ac 4.322 -0.121 -5.806
Ac 2.547 2.888 -6.131
Ac 1.598 -5.606 -1.791
Ac 6.304 3.004 -6.644
Ac -0.178 -2.597 -2.115
Pm 3.926 -2.115 -1.127
Pm 4.741 2.433 -3.387
Pm 0.218 -0.603 -6.794
Sm 0.000 0.000 0.000
```

Energy of formation: 0.36 eV/atom
Symmetry: No. 71

---

# 5
Entry from the Alexandria database: a geometry-optimized LaTiSe2 structure (GGA-PBE).

The structure in extended XYZ format:
```
4
Lattice="-0.554 -4.909 -0.497 -4.531 -1.938 -0.602 -1.317 -1.918 -4.386" Properties=species:S:1:pos:R:3 pbc="T T T"
Ti 0.000 0.000 0.000
Se -1.601 -2.191 -1.371
Se -4.802 -6.574 -4.114
La -3.201 -4.383 -2.743
```

Excess energy over the best structure of this formula in the dataset: 0.00 eV per formula unit
Symmetry: No. 225
Uncorrected formation energy: -113.09 kJ per mole of atoms

---

# 6
Entry from the Alexandria database: a geometry-optimized Ac2Ga3Si structure (GGA-PBE).

The structure in extended XYZ format:
```
6
Lattice="-0.015 3.948 -2.504 1.580 -2.159 -3.414 -6.985 -1.482 -2.296" Properties=species:S:1:pos:R:3 pbc="T T T"
Ga -5.810 0.743 -3.159
Ga -3.872 -0.093 -4.488
Ga -1.170 1.727 -1.634
Ac 0.753 -1.087 -1.719
Ac -3.461 -0.734 -1.138
Si -1.562 0.397 -3.729
```

Symmetry: No. 25
Uncorrected formation energy: -62.61 kJ per mole of atoms

---

# 7
Entry from the Alexandria database: a geometry-optimized NdDy4Al4 structure (GGA-PBE).

The structure in extended XYZ format:
```
18
Lattice="-1.821 -3.680 -3.065 7.277 1.712 -6.380 5.606 -6.621 4.618" Properties=species:S:1:pos:R:3 pbc="T T T"
Dy 7.876 -8.457 -3.087
Dy 8.718 -4.426 -4.152
Dy 4.362 -1.769 -4.748
Dy 2.343 -4.166 -0.676
Dy 1.367 -3.809 -4.801
Dy 8.447 -0.814 -4.045
Dy 6.702 -6.817 -0.076
Dy 4.435 -4.098 2.282
Nd 5.531 -4.294 -2.413
Nd 0.000 0.000 0.000
Al 4.189 -4.827 -5.257
Al 5.053 -7.440 -2.632
Al 0.814 -2.048 -2.306
Al 8.166 -2.663 -1.656
Al 10.249 -6.540 -2.519
Al 6.798 -1.435 -6.601
Al 4.264 -7.155 1.773
Al 4.717 -2.247 -0.107
```

Energy of formation: -0.16 eV/atom
Symmetry: No. 87

---

# 8
Entry from the Alexandria database: a geometry-optimized CsC2S2 structure (GGA-PBE).

The structure in extended XYZ format:
```
5
Lattice="-2.062 -2.852 -1.771 -0.350 -1.885 3.442 -6.196 0.559 1.932" Properties=species:S:1:pos:R:3 pbc="T T T"
S -4.732 -2.331 0.498
S -3.876 -1.847 3.105
C -3.459 -1.047 1.330
C -5.149 -3.131 2.272
Cs 0.000 0.000 0.000
```

Excess energy over the best structure of this formula in the dataset: 0.89 eV per formula unit
Symmetry: No. 139
Uncorrected formation energy: 109.66 kJ per mole of atoms

---

# 9
Entry from the Alexandria database: a geometry-optimized Mn2AlGa2Pt5 structure (GGA-PBE).

The structure in extended XYZ format:
```
20
Lattice="-1.650 2.357 -2.417 -7.154 0.851 5.715 4.131 7.112 4.113" Properties=species:S:1:pos:R:3 pbc="T T T"
Pt 1.240 4.734 0.848
Pt -6.616 3.351 4.864
Pt -2.774 8.421 7.184
Pt -2.586 3.705 2.458
Pt -2.088 6.614 4.953
Pt -0.619 5.548 2.910
Pt -4.055 4.772 4.501
Pt -4.402 1.604 1.649
Pt 1.943 6.969 2.547
Pt -1.900 1.898 0.227
Ga -4.699 3.380 6.505
Ga -0.901 6.730 7.177
Ga 1.676 4.582 3.323
Ga -2.123 1.232 2.651
Al 0.000 0.000 0.000
Al -1.512 3.981 4.914
Mn 1.069 6.180 5.295
Mn 0.142 2.489 2.330
Mn -3.165 5.474 7.498
Mn -4.093 1.783 4.533
```

Energy of formation: -0.47 eV/atom
Symmetry: No. 127

---

# 10
Entry from the Alexandria database: a geometry-optimized BeAlF2 structure (GGA-PBE).

The structure in extended XYZ format:
```
4
Lattice="10.225 0.113 0.066 9.860 2.707 0.066 9.860 1.384 2.327" Properties=species:S:1:pos:R:3 pbc="T T T"
F 25.846 3.628 2.122
F 4.099 0.575 0.337
Al 0.000 0.000 0.000
Be 14.973 2.102 1.229
```

Excess energy over the best structure of this formula in the dataset: 0.00 eV per formula unit
Symmetry: No. 166
Uncorrected formation energy: -194.02 kJ per mole of atoms

---

# 11
Entry from the Alexandria database: a geometry-optimized Pm5PdRh4 structure (GGA-PBE).

The structure in extended XYZ format:
```
10
Lattice="3.518 0.000 0.000 0.000 3.518 0.000 0.000 0.000 17.843" Properties=species:S:1:pos:R:3 pbc="T T T"
Rh 0.000 0.000 10.692
Rh 0.000 0.000 14.245
Rh 0.000 0.000 7.151
Rh 0.000 0.000 3.598
Pm 1.759 1.759 5.380
Pm 1.759 1.759 15.976
Pm 1.759 1.759 1.867
Pm 1.759 1.759 12.463
Pm 1.759 1.759 8.922
Pd 0.000 0.000 0.000
```

Energy of formation: -0.71 eV/atom
Symmetry: No. 123

---

# 12
Entry from the Alexandria database: a geometry-optimized AcPmH8Rh2 structure (GGA-PBE).

The structure in extended XYZ format:
```
12
Lattice="4.960 0.000 0.000 2.480 4.295 0.000 2.480 1.432 6.357" Properties=species:S:1:pos:R:3 pbc="T T T"
H 7.440 4.295 3.516
H 5.175 1.658 5.335
H 6.112 2.447 1.023
H 4.745 4.069 1.023
H 2.480 1.432 2.842
H 5.897 3.653 5.335
H 4.023 2.074 1.023
H 3.808 3.280 5.335
Rh 2.480 1.432 1.220
Rh 7.440 4.295 5.138
Ac 4.960 2.864 3.179
Pm 0.000 0.000 0.000
```

E_tot: -54.09 eV/cell
Symmetry: No. 148